(1)
Li3SnS3: relaxed, GGA-PBE.

* total DFT energy (no corrections): -55.78 eV for the cell shown
* symmetry: C2/m (12)

Cell: 6.918 6.918 7.012 Å, 90.46 90.46 116.25°
Element x y z (fractional)
Li  0.201  0.799  0.000
Li  0.259  0.741  0.500
Li  0.398  0.398  0.835
Li  0.602  0.602  0.165
Li  0.741  0.259  0.500
Li  0.799  0.201  0.000
Sn  0.217  0.217  0.392
Sn  0.783  0.783  0.608
S  0.060  0.060  0.861
S  0.218  0.534  0.226
S  0.466  0.782  0.774
S  0.534  0.218  0.226
S  0.782  0.466  0.774
S  0.940  0.940  0.139


(2)
GdThCd: relaxed, GGA-PBE.

* total DFT energy (no corrections): -22.31 eV for the cell shown
* symmetry: P3m1 (156)

Cell: 5.400 5.400 3.443 Å, 90.00 90.00 120.00°
Element x y z (fractional)
Gd  0.000  0.000  0.000
Th  0.667  0.333  0.571
Cd  0.333  0.667  0.235


(3)
K2AsCl: relaxed, GGA-PBE.

* total DFT energy (no corrections): -23.93 eV for the cell shown
* symmetry: C2/m (12)

Cell: 6.846 3.930 9.630 Å, 90.00 103.54 90.00°
Element x y z (fractional)
K  0.240  0.000  0.219
K  0.260  0.500  0.781
K  0.740  0.500  0.219
K  0.760  0.000  0.781
As  0.000  0.000  0.500
As  0.500  0.500  0.500
Cl  0.000  0.500  0.000
Cl  0.500  0.000  0.000


(4)
NiRu2Se2: relaxed, GGA-PBE.

* total DFT energy (no corrections): -59.06 eV for the cell shown
* symmetry: P4/mbm (127)

Cell: 6.993 6.993 3.161 Å, 90.00 90.00 90.00°
Element x y z (fractional)
Ni  0.000  0.000  0.000
Ni  0.500  0.500  0.000
Ru  0.141  0.359  0.000
Ru  0.359  0.859  0.000
Ru  0.641  0.141  0.000
Ru  0.859  0.641  0.000
Se  0.158  0.658  0.500
Se  0.342  0.158  0.500
Se  0.658  0.842  0.500
Se  0.842  0.342  0.500


(5)
CaTmAgPd: relaxed, GGA-PBE.

* total DFT energy (no corrections): -66.64 eV for the cell shown
* symmetry: F-43m (216)

Cell: 7.106 7.106 7.106 Å, 90.00 90.00 90.00°
Element x y z (fractional)
Ca  0.000  0.000  0.000
Ca  0.000  0.500  0.500
Ca  0.500  0.000  0.500
Ca  0.500  0.500  0.000
Tm  0.000  0.000  0.500
Tm  0.000  0.500  0.000
Tm  0.500  0.000  0.000
Tm  0.500  0.500  0.500
Ag  0.250  0.250  0.750
Ag  0.250  0.750  0.250
Ag  0.750  0.250  0.250
Ag  0.750  0.750  0.750
Pd  0.250  0.250  0.250
Pd  0.250  0.750  0.750
Pd  0.750  0.250  0.750
Pd  0.750  0.750  0.250


(6)
TaIr2Br: relaxed, GGA-PBE.

* total DFT energy (no corrections): -31.44 eV for the cell shown
* symmetry: Pmmm (47)

Cell: 3.165 3.294 7.368 Å, 90.00 90.00 90.00°
Element x y z (fractional)
Ta  0.000  0.000  0.000
Ir  0.500  0.500  0.191
Ir  0.500  0.500  0.809
Br  0.000  0.500  0.500


N(E_F) for the records above, in order: 0.0000, 1.1946, 0.5734, 0.9061, 0.3987, 0.5289 states/eV per atom
Total magnetic moment for the records above, in order: 0.00, 7.68, 0.00, 0.07, 0.00, 0.00 μB/f.u.